P:
An optimized crystal structure of CsMgPt3. Source: Alexandria, functional GGA-PBE.

```
CsMgPt3
1.0
5.252 0.000 0.000
0.000 5.252 0.000
0.000 0.000 5.252
Cs Mg Pt
1 1 3
Cartesian
0.000 0.000 0.000
2.626 2.626 2.626
0.000 0.000 2.626
0.000 2.626 0.000
2.626 0.000 0.000
```

Computed properties:
* space-group type: Pm-3m
* total magnetization: 0.00 μB per atom

Q:
An optimized crystal structure of CsMgPt3. Source: Alexandria, functional GGA-PBE.

```
CsMgPt3
1.0
4.958 0.000 0.000
0.000 4.958 0.000
0.000 0.000 4.958
Cs Mg Pt
1 1 3
Cartesian
0.000 0.000 0.000
2.479 2.479 2.479
0.000 2.479 2.479
2.479 0.000 2.479
2.479 2.479 0.000
```

Computed properties:
* space-group type: Pm-3m
* total magnetization: 0.00 μB per atom

Last place for stability: P

P:
An optimized crystal structure of Cs2Mg2Pt. Source: Alexandria, functional GGA-PBE.

```
Cs2Mg2Pt
1.0
-2.340 2.340 8.545
2.340 -2.340 8.545
2.340 2.340 -8.545
Cs Mg Pt
2 2 1
Cartesian
2.340 0.000 4.273
0.000 2.340 4.273
0.000 0.000 1.343
0.000 0.000 15.748
0.000 0.000 8.545
```

Computed properties:
* space-group type: I4/mmm
* total magnetization: 0.00 μB per atom

Q:
An optimized crystal structure of Cs2Mg2Pt. Source: Alexandria, functional GGA-PBE.

```
Cs2Mg2Pt
1.0
7.341 0.000 0.000
0.000 7.341 0.000
0.000 0.000 6.652
Cs Mg Pt
4 4 2
Cartesian
1.338 2.332 0.000
2.332 6.003 0.000
5.009 1.338 0.000
6.003 5.009 0.000
1.332 5.003 3.326
2.339 1.332 3.326
5.003 6.009 3.326
6.009 2.339 3.326
0.000 0.000 3.326
3.671 3.671 3.326
```

Computed properties:
* space-group type: P4/mbm
* total magnetization: 0.00 μB per atom

Last place for stability: P

P:
An optimized crystal structure of Cs2MgPt2. Source: Alexandria, functional GGA-PBE.

```
Cs2MgPt2
1.0
7.074 0.000 0.000
0.000 7.074 0.000
0.000 0.000 5.884
Cs Mg Pt
4 2 4
Cartesian
1.264 2.273 0.000
2.273 5.810 0.000
4.801 1.264 0.000
5.810 4.801 0.000
0.000 0.000 2.942
3.537 3.537 2.942
0.922 4.459 2.942
2.615 0.922 2.942
4.459 6.153 2.942
6.153 2.615 2.942
```

Computed properties:
* space-group type: P4/mbm
* total magnetization: 0.00 μB per atom

Q:
An optimized crystal structure of Cs2MgPt2. Source: Alexandria, functional GGA-PBE.

```
Cs2MgPt2
1.0
10.090 0.000 0.000
0.000 10.090 0.000
0.000 0.000 3.201
Cs Mg Pt
4 2 4
Cartesian
1.265 3.780 0.000
3.780 8.825 0.000
6.310 1.265 0.000
8.825 6.310 0.000
0.000 0.000 0.000
5.045 5.045 0.000
1.787 6.831 1.600
3.258 1.787 1.600
6.831 8.303 1.600
8.303 3.258 1.600
```

Computed properties:
* space-group type: P4/mbm
* total magnetization: 0.00 μB per atom

Last place for stability: Q

P:
An optimized crystal structure of CsRbMg14. Source: Alexandria, functional GGA-PBE.

```
CsRbMg14
1.0
6.962 0.000 0.000
-3.481 6.030 0.000
0.000 0.000 10.872
Cs Rb Mg
1 1 14
Cartesian
0.000 0.000 0.000
0.000 0.000 5.436
-1.701 3.038 5.436
-1.689 3.045 0.000
0.000 2.217 2.740
0.000 2.217 8.132
-1.561 4.921 2.740
-1.561 4.921 8.132
1.689 3.045 0.000
0.000 5.969 0.000
1.701 3.038 5.436
0.000 5.984 5.436
1.561 4.921 2.740
1.561 4.921 8.132
3.481 2.010 2.713
3.481 2.010 8.160
```

Computed properties:
* space-group type: P-6m2
* total magnetization: 0.00 μB per atom

Q:
An optimized crystal structure of CsRbMg14. Source: Alexandria, functional GGA-PBE.

```
CsRbMg14
1.0
11.321 0.000 0.000
0.000 3.314 5.849
0.000 -3.314 5.849
Cs Rb Mg
1 1 14
Cartesian
0.000 0.000 0.000
0.000 0.000 5.856
0.000 -1.656 2.925
0.000 1.656 2.925
2.849 0.000 3.103
2.864 0.000 8.901
3.291 -1.652 6.030
3.291 1.652 6.030
5.660 -1.655 4.029
5.660 0.000 1.294
5.660 1.655 4.029
5.660 0.000 7.143
8.030 -1.652 6.030
8.030 1.652 6.030
8.457 0.000 8.901
8.472 0.000 3.103
```

Computed properties:
* space-group type: Amm2
* total magnetization: 0.00 μB per atom

Last place for stability: P

P:
An optimized crystal structure of CsRb2Mg2. Source: Alexandria, functional GGA-PBE.

```
CsRb2Mg2
1.0
11.666 0.000 0.000
0.000 11.666 0.000
0.000 0.000 4.317
Cs Rb Mg
2 4 4
Cartesian
0.000 0.000 0.000
5.833 5.833 0.000
1.522 4.311 0.000
4.311 10.144 0.000
7.355 1.522 0.000
10.144 7.355 0.000
1.918 7.751 2.158
3.915 1.918 2.158
7.751 9.748 2.158
9.748 3.915 2.158
```

Computed properties:
* space-group type: P4/mbm
* total magnetization: 0.00 μB per atom

Q:
An optimized crystal structure of CsRb2Mg2. Source: Alexandria, functional GGA-PBE.

```
CsRb2Mg2
1.0
-3.060 3.060 8.417
3.060 -3.060 8.417
3.060 3.060 -8.417
Cs Rb Mg
1 2 2
Cartesian
0.000 0.000 0.000
3.060 0.000 4.209
0.000 3.060 4.209
0.000 0.000 6.896
0.000 0.000 9.938
```

Computed properties:
* space-group type: I4/mmm
* total magnetization: 0.00 μB per atom

Last place for stability: P

P:
An optimized crystal structure of CsRbMg6. Source: Alexandria, functional GGA-PBE.

```
CsRbMg6
1.0
5.110 0.000 0.000
0.000 3.046 11.146
0.000 -3.046 11.146
Cs Rb Mg
1 1 6
Cartesian
0.000 0.000 0.000
0.000 0.000 7.908
0.000 -1.505 14.974
0.000 1.505 14.974
2.555 0.000 2.955
2.555 -1.477 16.782
2.555 0.000 13.762
2.555 1.477 16.782
```

Computed properties:
* space-group type: Amm2
* total magnetization: 0.00 μB per atom

Q:
An optimized crystal structure of CsRbMg6. Source: Alexandria, functional GGA-PBE.

```
CsRbMg6
1.0
4.856 0.000 0.000
0.000 4.530 7.721
0.000 -4.530 7.721
Cs Rb Mg
1 1 6
Cartesian
0.000 0.000 0.000
2.428 0.000 10.364
0.000 -1.634 4.237
0.000 1.634 4.237
0.000 0.000 7.065
2.428 0.000 3.321
2.428 -1.606 6.104
2.428 1.606 6.104
```

Computed properties:
* space-group type: Amm2
* total magnetization: 0.00 μB per atom

Last place for stability: Q